# 1
# Zr3VRe

Crystalline Zr3VRe at its relaxed geometry (PBE, Alexandria via LeMat-Bulk).

Values from the calculation:
* symmetry: No. 221
* distance to the lowest polymorph of the same formula: 0.00 eV/f.u.
* formation energy from the elements: 869 meV per atom

abc: 5.0630 5.0630 5.0630
angles: 90.00 90.00 90.00
With the nearest neighbours (Å) after each atom.
Fractional positions:
Zr (0.0000, 0.0000, 0.5000)  2 Re 2.53
Zr (0.0000, 0.5000, 0.0000)  2 Re 2.53
Zr (0.5000, 0.0000, 0.0000)  2 Re 2.53
V (0.5000, 0.5000, 0.5000)  12 Zr 3.58
Re (0.0000, 0.0000, 0.0000)  6 Zr 2.53


# 2
# ZrV2Re2

Crystalline ZrV2Re2 at its relaxed geometry (PBE, Alexandria via LeMat-Bulk).

Values from the calculation:
* symmetry: No. 139
* distance to the lowest polymorph of the same formula: 0.25 eV/f.u.
* formation energy from the elements: 135 meV per atom

abc: 6.1086 6.1086 6.1086
angles: 141.50 141.50 55.58
With the nearest neighbours (Å) after each atom.
Fractional positions:
Zr (0.0000, 0.0000, 0.0000)  8 Re 3.12, 8 V 3.37
V (0.2500, 0.7500, 0.5000)  4 Re 2.47
V (0.7500, 0.2500, 0.5000)  4 Re 2.47
Re (0.3830, 0.3830, 0.0000)  4 V 2.47, 1 Re 2.53
Re (0.6170, 0.6170, 0.0000)  4 V 2.47, 1 Re 2.53


# 3
# Zr2V2Re

Crystalline Zr2V2Re at its relaxed geometry (PBE, Alexandria via LeMat-Bulk).

Values from the calculation:
* symmetry: No. 127
* formation energy from the elements: 93 meV per atom

abc: 6.3117 6.3117 4.5650
angles: 90.00 90.00 90.00
With the nearest neighbours (Å) after each atom.
Fractional positions:
Zr (0.1711, 0.3289, 0.0000)  6 V 2.83-3.02, 1 Zr 3.05
Zr (0.3289, 0.8289, 0.0000)  6 V 2.83-3.02, 1 Zr 3.05
Zr (0.6711, 0.1711, 0.0000)  6 V 2.83-3.02, 1 Zr 3.05
Zr (0.8289, 0.6711, 0.0000)  6 V 2.83-3.02, 1 Zr 3.05
V (0.1413, 0.6413, 0.5000)  2 Re 2.43, 1 V 2.52
V (0.3587, 0.1413, 0.5000)  2 Re 2.43, 1 V 2.52
V (0.6413, 0.8587, 0.5000)  2 Re 2.43, 1 V 2.52
V (0.8587, 0.3587, 0.5000)  2 Re 2.43, 1 V 2.52
Re (0.0000, 0.0000, 0.5000)  4 V 2.43
Re (0.5000, 0.5000, 0.5000)  4 V 2.43


# 4
# ZrVRe

Crystalline ZrVRe at its relaxed geometry (PBE, Alexandria via LeMat-Bulk).

Values from the calculation:
* symmetry: No. 156
* distance to the lowest polymorph of the same formula: 0.94 eV/f.u.
* formation energy from the elements: -53 meV per atom

abc: 4.4325 4.4325 2.9338
angles: 90.00 90.00 120.00
With the nearest neighbours (Å) after each atom.
Fractional positions:
Zr (0.0000, 0.0000, 0.0000)  3 Re 2.76, 3 V 2.78, 2 Zr 2.93
V (0.6667, 0.3333, 0.6322)  3 Re 2.69, 3 Zr 2.78, 2 V 2.93
Re (0.3333, 0.6667, 0.3500)  3 V 2.69, 3 Zr 2.76, 2 Re 2.93


# 5
# ZrV2Re2

Crystalline ZrV2Re2 at its relaxed geometry (PBE, Alexandria via LeMat-Bulk).

Values from the calculation:
* symmetry: No. 127
* distance to the lowest polymorph of the same formula: 0.00 eV/f.u.
* formation energy from the elements: 84 meV per atom

abc: 7.6075 7.6075 2.7857
angles: 90.00 90.00 90.00
With the nearest neighbours (Å) after each atom.
Fractional positions:
Zr (0.0000, 0.0000, 0.0000)  2 Zr 2.79, 4 V 2.93
Zr (0.5000, 0.5000, 0.0000)  2 Zr 2.79, 4 V 2.93
V (0.1415, 0.3585, 0.0000)  6 Re 2.61-2.64, 2 V 2.79
V (0.3585, 0.8585, 0.0000)  6 Re 2.61-2.64, 2 V 2.79
V (0.6415, 0.1415, 0.0000)  6 Re 2.61-2.64, 2 V 2.79
V (0.8585, 0.6415, 0.0000)  6 Re 2.61-2.64, 2 V 2.79
Re (0.1528, 0.6528, 0.5000)  6 V 2.61-2.64, 2 Re 2.79
Re (0.3472, 0.1528, 0.5000)  6 V 2.61-2.64, 2 Re 2.79
Re (0.6528, 0.8472, 0.5000)  6 V 2.61-2.64, 2 Re 2.79
Re (0.8472, 0.3472, 0.5000)  6 V 2.61-2.64, 2 Re 2.79


# 6
# ZrV2Re

Crystalline ZrV2Re at its relaxed geometry (PBE, Alexandria via LeMat-Bulk).

Values from the calculation:
* symmetry: No. 122
* formation energy from the elements: 457 meV per atom

abc: 5.7294 5.7294 5.7294
angles: 103.29 103.29 122.71
With the nearest neighbours (Å) after each atom.
Fractional positions:
Zr (0.0000, 0.0000, 0.0000)  2 Re 2.75, 4 V 2.79
Zr (0.7500, 0.2500, 0.5000)  2 Re 2.75, 4 V 2.79
V (0.1613, 0.1250, 0.5363)  2 Re 2.44
V (0.3750, 0.8387, 0.9637)  2 Re 2.44
V (0.5887, 0.6250, 0.4637)  2 Re 2.44
V (0.8750, 0.4113, 0.0363)  2 Re 2.44
Re (0.2500, 0.7500, 0.5000)  4 V 2.44
Re (0.5000, 0.5000, 0.0000)  4 V 2.44


# 7
# Re2W3

Crystalline Re2W3 at its relaxed geometry (PBE, Alexandria via LeMat-Bulk).

Values from the calculation:
* symmetry: No. 166
* formation energy from the elements: 292 meV per atom

abc: 11.5124 11.5124 11.5124
angles: 14.12 14.12 14.12
With the nearest neighbours (Å) after each atom.
Fractional positions:
Re (0.1005, 0.1005, 0.1005)  6 W 2.77-2.79, 6 Re 2.83
Re (0.8995, 0.8995, 0.8995)  6 W 2.77-2.79, 6 Re 2.83
W (0.2983, 0.2983, 0.2983)  3 Re 2.77, 9 W 2.83-2.90
W (0.5000, 0.5000, 0.5000)  6 Re 2.79, 6 W 2.83
W (0.7017, 0.7017, 0.7017)  3 Re 2.77, 9 W 2.83-2.90


# 8
# Re3W5

Crystalline Re3W5 at its relaxed geometry (PBE, Alexandria via LeMat-Bulk).

Values from the calculation:
* symmetry: No. 193
* distance to the lowest polymorph of the same formula: 0.46 eV/f.u.
* formation energy from the elements: 320 meV per atom

abc: 7.6471 7.6471 5.1555
angles: 90.00 90.00 120.00
With the nearest neighbours (Å) after each atom.
Fractional positions:
Re (0.0000, 0.4047, 0.2500)  9 W 2.66-2.89, 2 Re 2.96
Re (0.0000, 0.5953, 0.7500)  9 W 2.66-2.89, 2 Re 2.96
Re (0.4047, 0.0000, 0.2500)  9 W 2.66-2.89, 2 Re 2.96
Re (0.4047, 0.4047, 0.7500)  9 W 2.66-2.89, 2 Re 2.96
Re (0.5953, 0.0000, 0.7500)  9 W 2.66-2.89, 2 Re 2.96
Re (0.5953, 0.5953, 0.2500)  9 W 2.66-2.89, 2 Re 2.96
W (0.0000, 0.2326, 0.7500)  5 Re 2.69-2.89
W (0.0000, 0.7674, 0.2500)  5 Re 2.69-2.89
W (0.2326, 0.0000, 0.7500)  5 Re 2.69-2.89
W (0.2326, 0.2326, 0.2500)  5 Re 2.69-2.89
W (0.3333, 0.6667, 0.0000)  2 W 2.58, 6 Re 2.66
W (0.3333, 0.6667, 0.5000)  2 W 2.58, 6 Re 2.66
W (0.6667, 0.3333, 0.0000)  2 W 2.58, 6 Re 2.66
W (0.6667, 0.3333, 0.5000)  2 W 2.58, 6 Re 2.66
W (0.7674, 0.0000, 0.2500)  5 Re 2.69-2.89
W (0.7674, 0.7674, 0.7500)  5 Re 2.69-2.89


Which of these has the lowest formation energy from the elements?
ZrVRe


The lowest formation energy from the elements belongs to which entry?
ZrVRe


formation energy from the elements of number 8 (Re3W5)?
320 meV per atom